# 1
Entry from Alexandria via LeMat-Bulk: a relaxed structure of In2FeRe (PBE).

Cell: 4.587 4.587 4.587 Å, 60.00 60.00 60.00°
Fractional positions:
In 0.750 0.750 0.750
In 0.250 0.250 0.250
Fe 0.000 0.000 0.000
Re 0.500 0.500 0.500

Properties
SG: Fm-3m (225)
offset from the most stable computed form: 322 meV per atom
energy of formation from the pure elements: 622 meV/atom
VASP energy: -5.975 eV/atom
volume: 68.2 Å³ per cell



# 2
Entry from Alexandria via LeMat-Bulk: a relaxed structure of InFeRe2 (PBE).

Cell: 5.023 5.023 5.023 Å, 135.77 135.77 64.33°
Fractional positions:
In 0.750 0.250 0.500
Re 0.000 0.000 0.000
Re 0.500 0.500 0.000
Fe 0.250 0.750 0.500

Properties
SG: I4/mmm (139)
energy of formation from the pure elements: 499 meV/atom
VASP energy: -8.525 eV/atom
volume: 60.8 Å³ per cell



# 3
Entry from Alexandria via LeMat-Bulk: a relaxed structure of In2FeReRh (PBE).

Cell: 5.173 4.694 5.173 Å, 90.00 90.00 90.00°
Fractional positions:
Re 0.000 0.000 0.000
Fe 0.500 0.500 0.500
In 0.500 0.000 0.000
In 0.000 0.000 0.500
Rh 0.000 0.500 0.000

Properties
SG: P4/mmm (123)
energy of formation from the pure elements: 1327 meV/atom
VASP energy: -5.420 eV/atom
volume: 125.6 Å³ per cell



# 4
Entry from Alexandria via LeMat-Bulk: a relaxed structure of ScInFe2Re (PBE).

Cell: 4.237 5.149 4.237 Å, 90.00 90.00 90.00°
Fractional positions:
Sc 0.000 0.000 0.000
Fe 0.000 0.000 0.500
Fe 0.500 0.000 0.000
In 0.000 0.500 0.000
Re 0.500 0.500 0.500

Properties
SG: P4/mmm (123)
energy of formation from the pure elements: 1805 meV/atom
VASP energy: -5.884 eV/atom
volume: 92.4 Å³ per cell



# 5
Entry from Alexandria via LeMat-Bulk: a relaxed structure of In2FeReTc (PBE).

Cell: 5.168 4.452 5.168 Å, 90.00 90.00 90.00°
Fractional positions:
In 0.000 0.000 0.500
In 0.500 0.000 0.000
Tc 0.500 0.500 0.500
Fe 0.000 0.500 0.000
Re 0.000 0.000 0.000

Properties
SG: P4/mmm (123)
energy of formation from the pure elements: 1560 meV/atom
VASP energy: -5.791 eV/atom
volume: 118.9 Å³ per cell



# 6
Entry from Alexandria via LeMat-Bulk: a relaxed structure of Ti2InFeRe (PBE).

Cell: 4.677 5.108 4.677 Å, 90.00 90.00 90.00°
Fractional positions:
Re 0.000 0.000 0.000
Ti 0.500 0.000 0.000
Ti 0.000 0.000 0.500
Fe 0.500 0.500 0.500
In 0.000 0.500 0.000

Properties
SG: P4/mmm (123)
energy of formation from the pure elements: 1236 meV/atom
VASP energy: -6.652 eV/atom
volume: 111.7 Å³ per cell



# 7
Entry from Alexandria via LeMat-Bulk: a relaxed structure of ZrInFe2Re (PBE).

Cell: 4.408 5.314 4.408 Å, 90.00 90.00 90.00°
Fractional positions:
Fe 0.500 0.000 0.000
Fe 0.000 0.000 0.500
Re 0.500 0.500 0.500
Zr 0.000 0.000 0.000
In 0.000 0.500 0.000

Properties
SG: P4/mmm (123)
energy of formation from the pure elements: 2029 meV/atom
VASP energy: -6.103 eV/atom
volume: 103.2 Å³ per cell



# 8
Entry from Alexandria via LeMat-Bulk: a relaxed structure of In2FeRh2 (PBE).

Cell: 6.570 6.570 4.065 Å, 90.00 90.00 90.00°
Fractional positions:
Fe 0.000 0.000 0.000
Fe 0.500 0.500 0.000
In 0.165 0.665 0.500
In 0.835 0.335 0.500
In 0.665 0.835 0.500
In 0.335 0.165 0.500
Rh 0.856 0.644 0.000
Rh 0.356 0.856 0.000
Rh 0.144 0.356 0.000
Rh 0.644 0.144 0.000

Properties
SG: P4/mbm (127)
energy of formation from the pure elements: -129 meV/atom
VASP energy: -5.857 eV/atom
volume: 175.5 Å³ per cell



# 9
Entry from Alexandria via LeMat-Bulk: a relaxed structure of InFeRh2 (PBE).

Cell: 2.964 2.964 6.972 Å, 90.00 90.00 90.00°
Fractional positions:
Rh 0.000 0.000 0.008
Rh 0.500 0.500 0.271
Fe 0.000 0.000 0.474
In 0.500 0.500 0.747

Properties
SG: P4mm (99)
energy of formation from the pure elements: 56 meV/atom
VASP energy: -6.420 eV/atom
volume: 61.3 Å³ per cell



# 10
Entry from Alexandria via LeMat-Bulk: a relaxed structure of InFeRh2 (PBE).

Cell: 5.888 5.888 5.888 Å, 53.71 152.94 134.53°
Fractional positions:
Rh 0.000 0.775 0.775
Rh 0.000 0.225 0.225
In 0.000 0.500 0.500
Fe 0.000 0.000 0.000

Properties
SG: Immm (71)
energy of formation from the pure elements: 336 meV/atom
VASP energy: -6.140 eV/atom
volume: 65.9 Å³ per cell



# 11
Entry from Alexandria via LeMat-Bulk: a relaxed structure of InFe3Rh (PBE).

Cell: 4.451 4.451 4.451 Å, 90.00 90.00 90.00°
Fractional positions:
Fe 0.000 0.500 0.000
Fe 0.000 0.000 0.500
Fe 0.500 0.000 0.000
In 0.500 0.500 0.500
Rh 0.000 0.000 0.000

Properties
SG: Pm-3m (221)
offset from the most stable computed form: 0 meV per atom
energy of formation from the pure elements: 1507 meV/atom
VASP energy: -5.588 eV/atom
volume: 88.2 Å³ per cell



# 12
Entry from Alexandria via LeMat-Bulk: a relaxed structure of InFeRh2 (PBE).

Cell: 6.977 6.977 5.655 Å, 51.91 51.91 90.00°
Fractional positions:
Rh 0.161 0.625 0.250
Rh 0.375 0.411 0.750
Rh 0.875 0.839 0.750
Rh 0.589 0.125 0.250
Fe 0.250 0.750 0.500
Fe 0.500 0.500 0.000
In 0.750 0.250 0.500
In 0.000 0.000 0.000

Properties
SG: I-42d (122)
energy of formation from the pure elements: 228 meV/atom
VASP energy: -6.248 eV/atom
volume: 134.6 Å³ per cell



# 13
Entry from Alexandria via LeMat-Bulk: a relaxed structure of InFeRh2 (PBE).

Cell: 3.173 3.110 6.938 Å, 63.32 90.00 90.00°
Fractional positions:
In 0.500 0.750 0.750
Fe 0.500 0.250 0.250
Rh 0.000 0.979 0.021
Rh 0.000 0.521 0.479

Properties
SG: Pmmm (47)
energy of formation from the pure elements: -222 meV/atom
VASP energy: -6.698 eV/atom
volume: 61.2 Å³ per cell



# 14
Entry from Alexandria via LeMat-Bulk: a relaxed structure of InFeRh2 (PBE).

Cell: 4.996 4.996 4.489 Å, 73.03 73.03 35.43°
Fractional positions:
Rh 0.760 0.760 0.695
Rh 0.999 0.999 0.039
In 0.247 0.247 0.210
Fe 0.494 0.494 0.557

Properties
SG: Cm (8)
energy of formation from the pure elements: -87 meV/atom
VASP energy: -6.563 eV/atom
volume: 61.8 Å³ per cell



# 15
Entry from Alexandria via LeMat-Bulk: a relaxed structure of InFeRh2 (PBE).

Cell: 8.550 8.550 8.550 Å, 19.74 19.74 19.74°
Fractional positions:
Fe 0.250 0.250 0.250
Rh 0.995 0.995 0.995
Rh 0.505 0.505 0.505
In 0.750 0.750 0.750

Properties
SG: R-3m (166)
energy of formation from the pure elements: 12 meV/atom
VASP energy: -6.464 eV/atom
volume: 62.3 Å³ per cell



# 16
Entry from Alexandria via LeMat-Bulk: a relaxed structure of InFeRh2 (PBE).

Cell: 4.637 4.637 4.916 Å, 78.36 78.36 36.46°
Fractional positions:
In 0.250 0.250 0.250
Rh 0.493 0.493 0.521
Rh 0.007 0.007 0.979
Fe 0.750 0.750 0.750

Properties
SG: C2/m (12)
energy of formation from the pure elements: -58 meV/atom
VASP energy: -6.534 eV/atom
volume: 61.4 Å³ per cell



# 17
Entry from Alexandria via LeMat-Bulk: a relaxed structure of InFeRh2 (PBE).

Cell: 4.435 4.435 4.435 Å, 60.00 60.00 60.00°
Fractional positions:
Fe 0.500 0.500 0.500
Rh 0.000 0.000 0.000
Rh 0.250 0.250 0.250
In 0.750 0.750 0.750

Properties
SG: F-43m (216)
energy of formation from the pure elements: 60 meV/atom
VASP energy: -6.416 eV/atom
volume: 61.7 Å³ per cell



# 18
Entry from Alexandria via LeMat-Bulk: a relaxed structure of InFeRh2 (PBE).

Cell: 3.289 3.289 5.784 Å, 90.00 90.00 90.00°
Fractional positions:
Rh 0.500 0.500 0.283
Rh 0.000 0.000 0.004
Fe 0.000 0.000 0.456
In 0.500 0.500 0.757

Properties
SG: P4mm (99)
energy of formation from the pure elements: 27 meV/atom
VASP energy: -6.449 eV/atom
volume: 62.6 Å³ per cell



# 19
Entry from Alexandria via LeMat-Bulk: a relaxed structure of InFeRh4 (PBE).

Cell: 5.141 5.141 5.141 Å, 60.00 60.00 60.00°
Fractional positions:
Fe 0.750 0.750 0.750
Rh 0.375 0.875 0.375
Rh 0.375 0.375 0.375
Rh 0.375 0.375 0.875
Rh 0.875 0.375 0.375
In 0.000 0.000 0.000

Properties
SG: F-43m (216)
energy of formation from the pure elements: 158 meV/atom
VASP energy: -6.610 eV/atom
volume: 96.1 Å³ per cell



# 20
Entry from Alexandria via LeMat-Bulk: a relaxed structure of In2Fe2Rh (PBE).

Cell: 6.382 6.382 4.050 Å, 90.00 90.00 90.00°
Fractional positions:
Rh 0.000 0.000 0.000
Rh 0.500 0.500 0.000
Fe 0.879 0.621 0.000
Fe 0.379 0.879 0.000
Fe 0.121 0.379 0.000
Fe 0.621 0.121 0.000
In 0.181 0.681 0.500
In 0.681 0.819 0.500
In 0.319 0.181 0.500
In 0.819 0.319 0.500

Properties
SG: P4/mbm (127)
energy of formation from the pure elements: 227 meV/atom
VASP energy: -5.724 eV/atom
volume: 165.0 Å³ per cell